VASP calculation (GGA-PBE) on a relaxed PmY3P crystal.

a = 5.411 Å, b = 5.411 Å, c = 5.411 Å
α = 90.00°, β = 90.00°, γ = 90.00°
Fractional coordinates of all 5 atoms:
Pm1 0.000 0.000 0.000
Y1 0.000 0.500 0.500
Y2 0.500 0.000 0.500
Y3 0.500 0.500 0.000
P1 0.500 0.500 0.500

Values from the calculation:
Magnetization = 1.5 Bohr magnetons per cell
Space group = Pm-3m
Energy relative to the elements = -42.6 kJ/mol of atoms